Record 1
## TaCdAu2 (PBE-GGA)

Data for TaCdAu2 after structural relaxation.

Formation energy from the elements (eV per atom): 0.094
Final energy (eV/atom): -4.737

Cell and atoms, written as CIF:
```
data_TaCdAu2
_cell_length_a 2.9361
_cell_length_b 4.1496
_cell_length_c 6.1102
_cell_angle_alpha 90.00
_cell_angle_beta 90.00
_cell_angle_gamma 90.00
_symmetry_space_group_name_H-M 'P m m 2'
_symmetry_Int_Tables_number 25
_symmetry_space_group_name_Hall 'P 2 -2'
loop_
_atom_site_label
_atom_site_fract_x
_atom_site_fract_y
_atom_site_fract_z
Ta1 0.0000 0.0000 0.0000
Cd1 0.5000 0.5000 0.7166
Au1 0.0000 0.0000 0.4798
Au2 0.5000 0.5000 0.2078
```

---

Record 2
## Y2PaSb3 (PBE-GGA)

Data for Y2PaSb3 after structural relaxation.

Final energy (eV/atom): -6.715
Formation energy (no corrections) (eV/atom): -0.9167

Cell and atoms, written as CIF:
```
data_Y2PaSb3
_cell_length_a 6.2012
_cell_length_b 13.1312
_cell_length_c 8.7637
_cell_angle_alpha 90.00
_cell_angle_beta 90.01
_cell_angle_gamma 90.00
_symmetry_space_group_name_H-M 'P 1 21/c 1'
_symmetry_Int_Tables_number 14
_symmetry_space_group_name_Hall '-P 2ybc'
loop_
_atom_site_label
_atom_site_fract_x
_atom_site_fract_y
_atom_site_fract_z
Y1 0.2489 0.2492 0.3759
Y2 0.2505 0.5834 0.8764
Pa1 0.2506 0.5831 0.3759
Sb1 0.2494 0.0836 0.1261
Sb2 0.2495 0.0821 0.6272
Sb3 0.2510 0.7497 0.1255
```

---

Record 3
## Na3Pa5O12 (PBE-GGA)

Data for Na3Pa5O12 after structural relaxation.

Final energy (eV/atom): -8.500
Formation energy (no corrections) (eV/atom): -2.9532

Cell and atoms, written as CIF:
```
data_Na3Pa5O12
_cell_length_a 14.2558
_cell_length_b 14.2558
_cell_length_c 14.2558
_cell_angle_alpha 90.00
_cell_angle_beta 90.00
_cell_angle_gamma 90.00
_symmetry_space_group_name_H-M 'I a -3 d'
_symmetry_Int_Tables_number 230
_symmetry_space_group_name_Hall '-I 4bd 2c 3'
loop_
_atom_site_label
_atom_site_fract_x
_atom_site_fract_y
_atom_site_fract_z
Na1 0.0000 0.2500 0.1250
Pa1 0.0000 0.0000 0.0000
Pa2 0.0000 0.2500 0.3750
O1 0.0234 0.0373 0.6481
```

---

Record 4
## LaTcHg4 (PBE-GGA)

Data for LaTcHg4 after structural relaxation.

Formation energy from the elements (eV per atom): 0.269
Final energy (eV/atom): -2.481

Cell and atoms, written as CIF:
```
data_LaTcHg4
_cell_length_a 8.1934
_cell_length_b 8.1934
_cell_length_c 8.1934
_cell_angle_alpha 90.00
_cell_angle_beta 90.00
_cell_angle_gamma 90.00
_symmetry_space_group_name_H-M 'F -4 3 m'
_symmetry_Int_Tables_number 216
_symmetry_space_group_name_Hall 'F -4 2 3'
loop_
_atom_site_label
_atom_site_fract_x
_atom_site_fract_y
_atom_site_fract_z
La1 0.0000 0.0000 0.0000
Tc1 0.2500 0.2500 0.7500
Hg1 0.1241 0.1241 0.3759
```

---

Record 5
## CaPr2Ga2Cu2 (PBE-GGA)

Data for CaPr2Ga2Cu2 after structural relaxation.

Formation energy from the elements (eV per atom): -0.315
Final energy (eV/atom): -4.002

Cell and atoms, written as CIF:
```
data_CaPr2Ga2Cu2
_cell_length_a 4.4673
_cell_length_b 4.4673
_cell_length_c 28.8721
_cell_angle_alpha 90.00
_cell_angle_beta 90.00
_cell_angle_gamma 120.00
_symmetry_space_group_name_H-M 'R -3 m'
_symmetry_Int_Tables_number 166
_symmetry_space_group_name_Hall '-R 3 2"'
loop_
_atom_site_label
_atom_site_fract_x
_atom_site_fract_y
_atom_site_fract_z
Ca1 0.0000 0.0000 0.0000
Pr1 0.0000 0.0000 0.1234
Ga1 0.0000 0.0000 0.2644
Cu1 0.0000 0.0000 0.3991
```

---

Record 6
## SbCl (PBE-GGA)

Data for SbCl after structural relaxation.

Final energy (eV/atom): -3.313
Formation energy (no corrections) (eV/atom): -0.3288
Relative energy among the computed polymorphs (meV per atom): 146

Cell and atoms, written as CIF:
```
data_SbCl
_cell_length_a 11.5335
_cell_length_b 11.5335
_cell_length_c 4.2638
_cell_angle_alpha 90.00
_cell_angle_beta 90.00
_cell_angle_gamma 120.00
_symmetry_space_group_name_H-M 'P 63/m'
_symmetry_Int_Tables_number 176
_symmetry_space_group_name_Hall '-P 6c'
loop_
_atom_site_label
_atom_site_fract_x
_atom_site_fract_y
_atom_site_fract_z
Sb1 0.0715 0.2261 0.2500
Cl1 0.1484 0.4612 0.2500
```